Record 1
Compound: Nb6Al3Ga
Source: Alexandria
Functional: PBE
Structure: optimized geometry Values from VASP.

Summary:
The value obtained for the magnetic moment is 0.000 μB/cell. The total energy is -7.466 eV per atom. For the formation energy from the elements, the calculation gives 0.1 kJ per mole of atoms. The density of states at the Fermi level is 11.8 states/eV per cell.

Structure (Quantum ESPRESSO input):
```
&SYSTEM
  ibrav = 0, nat = 20, ntyp = 3
/
ATOMIC_SPECIES
Nb 92.91 Nb.upf
Al 26.98 Al.upf
Ga 69.72 Ga.upf
CELL_PARAMETERS angstrom
5.003 0.000 0.000
0.000 7.809 0.000
-4.974 0.000 9.246
ATOMIC_POSITIONS angstrom
Nb -0.259 1.317 0.577
Nb -2.746 2.588 5.200
Nb -0.249 1.330 4.039
Nb -2.736 2.574 8.661
Nb 0.779 4.383 2.312
Nb -1.708 7.331 6.935
Nb 1.736 0.479 2.311
Nb -0.751 3.426 6.933
Nb 2.764 5.235 0.584
Nb 0.277 6.479 5.207
Nb 2.774 5.221 4.045
Nb 0.287 6.492 8.668
Al -2.487 0.000 4.623
Al 0.000 3.905 0.000
Al -3.143 4.839 6.961
Al -0.656 6.875 2.338
Al 0.685 0.934 6.908
Al 3.172 2.971 2.285
Ga 2.501 0.000 0.000
Ga 0.014 3.905 4.623
```

Record 2
Compound: NaHfAg2
Source: Alexandria
Functional: PBE
Structure: optimized geometry Values from VASP.

Summary:
The value obtained for the offset from the most stable computed form is 0.165 eV/atom. The value obtained for the magnetic moment is 0.000 μB/cell. The total energy is -4.005 eV per atom. For the formation energy from the elements, the calculation gives 23.1 kJ per mole of atoms. The density of states at the Fermi level is 3.3 states/eV per cell.

Structure (Quantum ESPRESSO input):
```
&SYSTEM
  ibrav = 0, nat = 4, ntyp = 3
/
ATOMIC_SPECIES
Na 22.99 Na.upf
Hf 178.49 Hf.upf
Ag 107.87 Ag.upf
CELL_PARAMETERS angstrom
0.000 3.417 3.417
3.417 0.000 3.417
3.417 3.417 0.000
ATOMIC_POSITIONS angstrom
Na 0.000 0.000 0.000
Hf 3.417 3.417 3.417
Ag 1.708 1.708 1.708
Ag 5.125 5.125 5.125
```

Record 3
Compound: NbFe2Cl
Source: Alexandria
Functional: PBE
Structure: optimized geometry Values from VASP.

Summary:
The energy relative to the elements, uncorrected is 0.84 eV per atom. The value obtained for the offset from the most stable computed form is 0.010 eV/atom. The value obtained for the magnetic moment is 0.000 μB/cell. The total energy is -6.374 eV per atom. The density of states at the Fermi level is 3.2 states/eV per cell.

Structure (Quantum ESPRESSO input):
```
&SYSTEM
  ibrav = 0, nat = 8, ntyp = 3
/
ATOMIC_SPECIES
Nb 92.91 Nb.upf
Fe 55.84 Fe.upf
Cl 35.45 Cl.upf
CELL_PARAMETERS angstrom
-2.590 2.590 5.190
2.590 -2.590 5.190
2.590 2.590 -5.190
ATOMIC_POSITIONS angstrom
Nb 0.000 0.000 0.000
Nb 0.000 2.590 2.595
Fe 1.295 -1.041 3.892
Fe 1.548 1.295 1.297
Fe 1.295 3.631 -1.297
Fe 1.041 1.295 6.487
Cl 2.590 0.000 2.595
Cl 0.000 0.000 5.190
```

Record 4
Compound: CaTb15Tm4
Source: Alexandria
Functional: PBE
Structure: optimized geometry Values from VASP.

Summary:
The value obtained for the magnetic moment is 0.000 μB/cell. The total energy is -4.431 eV per atom. For the formation energy from the elements, the calculation gives 3.5 kJ per mole of atoms. The density of states at the Fermi level is 27.6 states/eV per cell.

Structure (Quantum ESPRESSO input):
```
&SYSTEM
  ibrav = 0, nat = 20, ntyp = 3
/
ATOMIC_SPECIES
Ca 40.08 Ca.upf
Tb 158.93 Tb.upf
Tm 168.93 Tm.upf
CELL_PARAMETERS angstrom
5.031 0.000 0.000
0.000 5.031 0.000
0.000 0.000 25.156
ATOMIC_POSITIONS angstrom
Ca 0.000 0.000 0.000
Tb 0.000 2.516 2.636
Tb 0.000 2.516 7.595
Tb 0.000 2.516 12.578
Tb 0.000 2.516 17.561
Tb 0.000 2.516 22.520
Tb 2.516 0.000 2.636
Tb 2.516 0.000 7.595
Tb 2.516 0.000 12.578
Tb 2.516 0.000 17.561
Tb 2.516 0.000 22.520
Tb 2.516 2.516 0.000
Tb 2.516 2.516 5.070
Tb 2.516 2.516 10.079
Tb 2.516 2.516 15.076
Tb 2.516 2.516 20.086
Tm 0.000 0.000 5.077
Tm 0.000 0.000 10.084
Tm 0.000 0.000 15.072
Tm 0.000 0.000 20.078
```

Record 5
Compound: MgHg3Ru
Source: Alexandria
Functional: PBE
Structure: optimized geometry Values from VASP.

Summary:
The value obtained for the offset from the most stable computed form is 0.000 eV/atom. The value obtained for the magnetic moment is 0.854 μB/cell. The total energy is -1.797 eV per atom. For the formation energy from the elements, the calculation gives 53.8 kJ per mole of atoms. The density of states at the Fermi level is 5.1 states/eV per cell.

Structure (Quantum ESPRESSO input):
```
&SYSTEM
  ibrav = 0, nat = 5, ntyp = 3
/
ATOMIC_SPECIES
Mg 24.30 Mg.upf
Hg 200.59 Hg.upf
Ru 101.07 Ru.upf
CELL_PARAMETERS angstrom
5.237 0.000 0.000
0.000 5.237 0.000
0.000 0.000 5.237
ATOMIC_POSITIONS angstrom
Mg 0.000 0.000 0.000
Hg 0.000 2.618 2.618
Hg 2.618 0.000 2.618
Hg 2.618 2.618 0.000
Ru 2.618 2.618 2.618
```

Record 6
Compound: AlOsRu3
Source: Alexandria
Functional: PBE
Structure: optimized geometry Values from VASP.

Summary:
The value obtained for the offset from the most stable computed form is 0.000 eV/atom. The value obtained for the magnetic moment is 0.000 μB/cell. The total energy is -7.121 eV per atom. For the formation energy from the elements, the calculation gives 138.8 kJ per mole of atoms. The density of states at the Fermi level is 8.1 states/eV per cell.

Structure (Quantum ESPRESSO input):
```
&SYSTEM
  ibrav = 0, nat = 5, ntyp = 3
/
ATOMIC_SPECIES
Al 26.98 Al.upf
Os 190.23 Os.upf
Ru 101.07 Ru.upf
CELL_PARAMETERS angstrom
4.307 0.000 0.000
0.000 4.307 0.000
0.000 0.000 4.307
ATOMIC_POSITIONS angstrom
Al 0.000 0.000 0.000
Os 2.153 2.153 2.153
Ru 0.000 0.000 2.153
Ru 0.000 2.153 0.000
Ru 2.153 0.000 0.000
```

Record 7
Compound: LiNb2C
Source: Alexandria
Functional: PBE
Structure: optimized geometry Values from VASP.

Summary:
The value obtained for the magnetic moment is 0.000 μB/cell. The total energy is -7.455 eV per atom. For the formation energy from the elements, the calculation gives 35.1 kJ per mole of atoms. The density of states at the Fermi level is 8.5 states/eV per cell.

Structure (Quantum ESPRESSO input):
```
&SYSTEM
  ibrav = 0, nat = 8, ntyp = 3
/
ATOMIC_SPECIES
Li 6.94 Li.upf
Nb 92.91 Nb.upf
C 12.01 C.upf
CELL_PARAMETERS angstrom
-3.306 3.306 2.612
3.306 -3.306 2.612
3.306 3.306 -2.612
ATOMIC_POSITIONS angstrom
Li 0.000 0.000 0.000
Li 0.000 3.306 1.306
Nb 1.653 -1.233 1.959
Nb 2.073 1.653 0.653
Nb 1.653 4.540 -0.653
Nb 1.233 1.653 3.265
C 3.306 0.000 1.306
C 0.000 0.000 2.612
```